Compound: Ac2NiSn3Ir4
Source: Alexandria
Functional: PBE-GGA
Structure: optimized geometry Values from VASP.

Computed properties:
- formation enthalpy at 0 K (eV/atom) = -0.47
- density (Mg/m³) = 12.37
- magnetization (μB per cell) = 0.3
- Fermi-level density of states (states/eV/f.u.) = 7.008

The structure in Quantum ESPRESSO input format:
```
&SYSTEM
  ibrav = 0, nat = 10, ntyp = 4
/
ATOMIC_SPECIES
Ac 227.00 Ac.upf
Ni 58.69 Ni.upf
Sn 118.71 Sn.upf
Ir 192.22 Ir.upf
CELL_PARAMETERS angstrom
-2.1294 2.9585 2.5277
-2.5993 -3.2257 1.5858
7.2922 -1.8128 8.2649
ATOMIC_POSITIONS crystal
Ac 0.5000 0.0000 0.2593
Ac 0.0000 0.5000 0.7407
Ni 0.5000 0.5000 0.5000
Sn 0.0000 0.0000 0.5000
Sn 0.5000 0.0000 0.8699
Sn 0.0000 0.5000 0.1301
Ir 0.5000 0.5000 0.0000
Ir 0.0000 0.0000 0.0000
Ir 0.5000 0.0000 0.6309
Ir 0.0000 0.5000 0.3691
```